DFT (PBE) results for a relaxed structure of Ho6CdFe2.

The structure in extended XYZ format:
```
18
Lattice="-4.682 4.806 4.970 4.682 -4.806 4.970 4.682 4.806 -4.970" Properties=species:S:1:pos:R:3 pbc="T T T"
Ho 4.682 2.741 -2.723
Ho 2.730 1.807 0.000
Ho 6.634 1.807 0.000
Ho 1.910 4.806 -1.869
Ho 2.772 0.000 3.101
Ho 0.000 2.065 2.248
Ho 4.682 2.741 2.723
Ho 1.910 4.806 1.869
Ho 2.772 0.000 6.839
Ho -1.952 2.999 4.970
Ho 1.952 2.999 4.970
Ho 0.000 2.065 7.693
Cd 0.000 0.000 0.000
Cd 0.000 0.000 4.970
Fe 4.682 0.000 1.085
Fe 0.000 3.710 0.000
Fe 0.000 5.901 0.000
Fe 0.000 4.806 3.886
```

* density of states at the Fermi level: 1.19 states/eV/atom
* SG: No. 71
* energy of formation: -0.111 eV/atom

=====

DFT (PBE) results for a relaxed structure of Ce6ErTh2.

The structure in extended XYZ format:
```
9
Lattice="9.536 0.000 0.000 -4.768 8.258 0.000 0.000 0.000 3.395" Properties=species:S:1:pos:R:3 pbc="T T T"
Ce -3.004 5.571 0.944
Ce 1.445 2.872 0.944
Ce 3.210 0.184 2.451
Ce 1.558 8.074 0.944
Ce 3.323 5.386 2.451
Ce 7.772 2.688 2.451
Er 0.000 0.000 0.000
Th 0.000 5.506 2.622
Th 4.768 2.753 0.773
```

* density of states at the Fermi level: 3.04 states/eV/atom
* SG: No. 147
* energy of formation: 0.181 eV/atom

=====

DFT (PBE) results for a relaxed structure of AcZnCdIr.

The structure in extended XYZ format:
```
4
Lattice="0.000 3.579 3.579 3.579 0.000 3.579 3.579 3.579 0.000" Properties=species:S:1:pos:R:3 pbc="T T T"
Ac 0.000 0.000 0.000
Zn 1.790 1.790 1.790
Cd 3.579 3.579 3.579
Ir 5.369 5.369 5.369
```

* density of states at the Fermi level: 0.85 states/eV/atom
* SG: No. 216
* energy of formation: -0.104 eV/atom

=====

DFT (PBE) results for a relaxed structure of Tl2GaCl.

The structure in extended XYZ format:
```
4
Lattice="0.000 3.805 3.805 3.805 0.000 3.805 3.805 3.805 0.000" Properties=species:S:1:pos:R:3 pbc="T T T"
Tl 1.902 1.902 1.902
Tl 5.707 5.707 5.707
Ga 0.000 0.000 0.000
Cl 3.805 3.805 3.805
```

* offset from the most stable computed form: 0.003 eV per atom
* formation energy (no corrections): -156 meV per atom
* density of states at the Fermi level: 0.84 states/eV/atom
* SG: No. 225

=====

DFT (PBE) results for a relaxed structure of CrCo3Se.

The structure in extended XYZ format:
```
5
Lattice="4.297 0.000 0.000 0.000 4.297 0.000 0.000 0.000 4.297" Properties=species:S:1:pos:R:3 pbc="T T T"
Cr 0.000 0.000 0.000
Co 0.000 2.148 2.148
Co 2.148 0.000 2.148
Co 2.148 2.148 0.000
Se 2.148 2.148 2.148
```

* offset from the most stable computed form: 0.000 eV per atom
* formation energy (no corrections): 799 meV per atom
* density of states at the Fermi level: 1.23 states/eV/atom
* SG: No. 221

=====

DFT (PBE) results for a relaxed structure of CdI2Br.

The structure in extended XYZ format:
```
4
Lattice="0.000 3.929 3.929 3.929 0.000 3.929 3.929 3.929 0.000" Properties=species:S:1:pos:R:3 pbc="T T T"
Cd 0.000 0.000 0.000
I 1.965 1.965 1.965
I 5.894 5.894 5.894
Br 3.929 3.929 3.929
```

* offset from the most stable computed form: 0.281 eV per atom
* formation energy (no corrections): 112 meV per atom
* density of states at the Fermi level: 1.74 states/eV/atom
* SG: No. 225

=====

DFT (PBE) results for a relaxed structure of SrCa2P.

The structure in extended XYZ format:
```
4
Lattice="5.780 -1.956 0.000 5.780 1.956 0.000 -3.072 0.000 6.392" Properties=species:S:1:pos:R:3 pbc="T T T"
Sr 0.000 0.000 0.000
Ca 5.532 0.000 4.299
Ca 8.621 0.000 1.995
P 0.138 0.000 6.352
```

* density of states at the Fermi level: 0.59 states/eV/atom
* SG: No. 8
* energy of formation: -0.574 eV/atom

=====

DFT (PBE) results for a relaxed structure of Y9Er4Cd11.

The structure in extended XYZ format:
```
24
Lattice="7.992 -11.293 0.000 7.992 11.293 0.000 0.000 0.000 3.541" Properties=species:S:1:pos:R:3 pbc="T T T"
Y 0.000 0.000 0.000
Y 6.176 5.992 0.000
Y 6.151 2.049 0.000
Y 9.808 5.992 0.000
Y 6.151 -2.049 0.000
Y 9.834 2.049 0.000
Y 6.176 -5.992 0.000
Y 9.834 -2.049 0.000
Y 9.808 -5.992 0.000
Er 2.608 1.939 0.000
Er 2.608 -1.939 0.000
Er 13.377 1.939 0.000
Er 13.377 -1.939 0.000
Cd 4.266 4.061 1.771
Cd 7.992 8.343 1.771
Cd 4.424 0.000 1.771
Cd 7.992 3.986 1.771
Cd 4.266 -4.061 1.771
Cd 7.992 0.000 1.771
Cd 11.719 4.061 1.771
Cd 7.992 -3.986 1.771
Cd 11.560 0.000 1.771
Cd 7.992 -8.343 1.771
Cd 11.719 -4.061 1.771
```

* density of states at the Fermi level: 1.09 states/eV/atom
* SG: No. 65
* energy of formation: -0.251 eV/atom

=====

DFT (PBE) results for a relaxed structure of MnIrAu.

The structure in extended XYZ format:
```
3
Lattice="-1.436 1.765 4.574 1.436 -1.765 4.574 1.436 1.765 -4.574" Properties=species:S:1:pos:R:3 pbc="T T T"
Mn 0.000 0.000 0.000
Ir 0.000 0.000 3.370
Au 0.000 0.000 6.201
```

* offset from the most stable computed form: 0.046 eV per atom
* density of states at the Fermi level: 1.07 states/eV/atom
* SG: No. 44
* energy of formation: 0.101 eV/atom

=====

DFT (PBE) results for a relaxed structure of CrFe2Pb.

The structure in extended XYZ format:
```
4
Lattice="3.198 0.000 0.000 0.000 3.198 0.000 0.000 0.000 5.888" Properties=species:S:1:pos:R:3 pbc="T T T"
Cr 0.000 0.000 0.000
Fe 0.000 0.000 2.313
Fe 1.599 1.599 1.159
Pb 1.599 1.599 4.078
```

* density of states at the Fermi level: 0.69 states/eV/atom
* SG: No. 99
* energy of formation: 0.515 eV/atom

=====

DFT (PBE) results for a relaxed structure of CdFeNi.

The structure in extended XYZ format:
```
3
Lattice="0.000 2.927 2.927 2.927 0.000 2.927 2.927 2.927 0.000" Properties=species:S:1:pos:R:3 pbc="T T T"
Cd 0.000 0.000 0.000
Fe 2.927 2.927 2.927
Ni 4.390 4.390 4.390
```

* offset from the most stable computed form: 0.309 eV per atom
* density of states at the Fermi level: 1.83 states/eV/atom
* SG: No. 216
* energy of formation: 0.472 eV/atom

=====

DFT (PBE) results for a relaxed structure of AcYNiPd.

The structure in extended XYZ format:
```
4
Lattice="0.000 3.621 3.621 3.621 0.000 3.621 3.621 3.621 0.000" Properties=species:S:1:pos:R:3 pbc="T T T"
Ac 0.000 0.000 0.000
Y 3.621 3.621 3.621
Ni 1.810 1.810 1.810
Pd 5.431 5.431 5.431
```

* density of states at the Fermi level: 1.01 states/eV/atom
* SG: No. 216
* energy of formation: -0.441 eV/atom

=====

Number 1: volume 223.67 Å³/f.u.. Number 2: volume 267.36 Å³/f.u.. Number 3: volume 91.70 Å³/f.u.. Number 4: volume 110.17 Å³/f.u.. Number 5: volume 79.32 Å³/f.u.. Number 6: volume 121.31 Å³/f.u.. Number 7: volume 144.52 Å³/f.u.. Number 8: volume 639.24 Å³/f.u.. Number 9: volume 46.36 Å³/f.u.. Number 10: volume 60.22 Å³/f.u.. Number 11: volume 50.15 Å³/f.u.. Number 12: volume 94.93 Å³/f.u..